Er3As4Pd4 | PBE-GGA | relaxed

calculated formation energy = -1.0091 eV per atom

a = 8.104 Å, b = 8.104 Å, c = 8.104 Å
α = 150.23°, β = 127.79°, γ = 61.27°
Element x y z (fractional)
Er 0.000 0.000 0.000
Er 0.372 0.872 0.500
Er 0.628 0.128 0.500
As 0.216 0.216 0.000
As 0.301 0.500 0.801
As 0.699 0.500 0.199
As 0.784 0.784 0.000
Pd 0.029 0.328 0.702
Pd 0.374 0.672 0.702
Pd 0.626 0.328 0.298
Pd 0.971 0.672 0.298